Run A
{
  "formula": "Dy2MnTc",
  "functional": "GGA-PBE",
  "state": "optimized geometry",
  "lattice_angstrom": [[-1.7868, 2.7011, -0.5137], [-2.6080, -0.1122, -1.9846], [-7.3306, -1.5256, 7.0105]],
  "species": ["Mn", "Tc", "Dy", "Dy"],
  "frac_coords": [[0.0000, 0.0000, 0.0000], [0.5000, 0.5000, 0.5000], [0.0976, 0.0976, 0.7071], [0.9024, 0.9024, 0.2929]],
  "n_ef_per_ev_cell": 3.208,
  "space_group": "R-3m, No. 166",
  "mass_density_g_cm3": 8.45
}



Run B
{
  "formula": "Dy2MnTc",
  "functional": "GGA-PBE",
  "state": "optimized geometry",
  "lattice_angstrom": [[4.9192, 0.0000, 0.0000], [2.4596, 4.2601, 0.0000], [2.4596, 1.4200, 4.0165]],
  "species": ["Mn", "Tc", "Dy", "Dy"],
  "frac_coords": [[0.5000, 0.5000, 0.5000], [0.0000, 0.0000, 0.0000], [0.2500, 0.2500, 0.2500], [0.7500, 0.7500, 0.7500]],
  "n_ef_per_ev_cell": 3.923,
  "space_group": "Fm-3m, No. 225",
  "mass_density_g_cm3": 9.43
}



Bottom line: run B, by a margin of 443 meV/atom.



Run A
{
  "formula": "Dy2ThMn",
  "functional": "GGA-PBE",
  "state": "optimized geometry",
  "lattice_angstrom": [[3.4958, 0.0000, 0.0000], [0.0000, 3.4958, 0.0000], [0.0000, 0.0000, 8.8059]],
  "species": ["Mn", "Th", "Dy", "Dy"],
  "frac_coords": [[0.5000, 0.5000, 0.0000], [0.5000, 0.5000, 0.5000], [0.0000, 0.0000, 0.7967], [0.0000, 0.0000, 0.2033]],
  "n_ef_per_ev_cell": 5.343,
  "space_group": "P4/mmm, No. 123",
  "mass_density_g_cm3": 9.44
}



Run B
{
  "formula": "Dy2ThMn",
  "functional": "GGA-PBE",
  "state": "optimized geometry",
  "lattice_angstrom": [[3.4354, 0.0000, 0.0000], [1.7177, 2.9752, 0.0000], [1.7177, 0.9917, 11.3177]],
  "species": ["Mn", "Th", "Dy", "Dy"],
  "frac_coords": [[0.0000, 0.0000, 0.0000], [0.5000, 0.5000, 0.5000], [0.0833, 0.0833, 0.7501], [0.9167, 0.9167, 0.2499]],
  "n_ef_per_ev_cell": 5.164,
  "space_group": "R-3m, No. 166",
  "mass_density_g_cm3": 8.78
}



Bottom line: run A, by a margin of 371 meV/atom.



Run A
{
  "formula": "DyThMn",
  "functional": "GGA-PBE",
  "state": "optimized geometry",
  "lattice_angstrom": [[-0.2102, -6.5526, -1.7620], [6.2607, -0.6285, 1.5902], [-3.4906, -1.4768, 5.9088]],
  "species": ["Th", "Th", "Th", "Th", "Dy", "Dy", "Dy", "Dy", "Mn", "Mn", "Mn", "Mn"],
  "frac_coords": [[0.4263, 0.3215, 0.7507], [0.9263, 0.1785, 0.2493], [0.5737, 0.6785, 0.2493], [0.0737, 0.8215, 0.7507], [0.0744, 0.6770, 0.2365], [0.4256, 0.1770, 0.2365], [0.9256, 0.3230, 0.7635], [0.5744, 0.8230, 0.7635], [0.2502, 0.0040, 0.5142], [0.2498, 0.5040, 0.5142], [0.7498, 0.9960, 0.4858], [0.7502, 0.4960, 0.4858]],
  "n_ef_per_ev_cell": 13.223,
  "space_group": "P2_1/c, No. 14",
  "mass_density_g_cm3": 9.98
}



Run B
{
  "formula": "DyThMn",
  "functional": "GGA-PBE",
  "state": "optimized geometry",
  "lattice_angstrom": [[-3.5071, 0.5370, 0.5118], [-0.0184, -2.5353, 2.5341], [2.9928, 5.1073, 2.5960]],
  "species": ["Mn", "Th", "Dy"],
  "frac_coords": [[0.6619, 0.6619, 0.3238], [0.0245, 0.0245, 0.0490], [0.3136, 0.3136, 0.6272]],
  "n_ef_per_ev_cell": 6.067,
  "space_group": "I4mm, No. 107",
  "mass_density_g_cm3": 9.77
}



Bottom line: run B, by a margin of 16 meV/atom.